Here is a geometry-optimized BaTl2Zn structure from OQMD via LeMat-Bulk. Energies are from PBE-GGA.

Cell lengths 7.8923, 7.8923, 7.8923 Å; angles 90.00, 90.00, 90.00 degrees
With the nearest neighbours (Å) after each atom.
Sites, in units of the cell vectors:
Ba (0.0000, 0.0000, 0.0000)  4 Tl 3.42, 4 Zn 3.42
Ba (0.0000, 0.5000, 0.5000)  4 Tl 3.42, 4 Zn 3.42
Ba (0.5000, 0.0000, 0.5000)  4 Tl 3.42, 4 Zn 3.42
Ba (0.5000, 0.5000, 0.0000)  4 Tl 3.42, 4 Zn 3.42
Tl (0.0000, 0.0000, 0.5000)  4 Zn 3.42, 4 Tl 3.42
Tl (0.0000, 0.5000, 0.0000)  4 Zn 3.42, 4 Tl 3.42
Tl (0.2500, 0.2500, 0.2500)  4 Tl 3.42, 4 Ba 3.42
Tl (0.2500, 0.7500, 0.7500)  4 Ba 3.42, 4 Tl 3.42
Tl (0.5000, 0.0000, 0.0000)  4 Zn 3.42, 4 Tl 3.42
Tl (0.5000, 0.5000, 0.5000)  4 Zn 3.42, 4 Tl 3.42
Tl (0.7500, 0.2500, 0.7500)  4 Ba 3.42, 4 Tl 3.42
Tl (0.7500, 0.7500, 0.2500)  4 Ba 3.42, 4 Tl 3.42
Zn (0.2500, 0.2500, 0.7500)  4 Ba 3.42, 4 Tl 3.42
Zn (0.2500, 0.7500, 0.2500)  4 Ba 3.42, 4 Tl 3.42
Zn (0.7500, 0.2500, 0.2500)  4 Ba 3.42, 4 Tl 3.42
Zn (0.7500, 0.7500, 0.7500)  4 Ba 3.42, 4 Tl 3.42

Summary:
**Final energy**: -2.16 eV/atom



Here is a geometry-optimized Sr4Lu4B3 structure from OQMD via LeMat-Bulk. Energies are from PBE-GGA.

Cell lengths 4.2777, 4.4839, 16.1635 Å; angles 85.06, 82.87, 87.42 degrees
With the nearest neighbours (Å) after each atom.
Sites, in units of the cell vectors:
Sr (0.0487, 0.1322, 0.0883)  3 B 2.78-3.03
Sr (0.3164, 0.5009, 0.4238)  2 B 2.79-2.85, 1 Sr 3.08
Sr (0.6836, 0.4991, 0.5762)  2 B 2.79-2.85, 1 Sr 3.08
Sr (0.9513, 0.8678, 0.9117)  3 B 2.78-3.03
Lu (0.0969, 0.9634, 0.6668)  1 B 2.77
Lu (0.4809, 0.5789, 0.2062)  1 B 2.60
Lu (0.5191, 0.4211, 0.7938)  1 B 2.60
Lu (0.9031, 0.0366, 0.3332)  1 B 2.77
B (0.0000, 0.0000, 0.5000)  2 Lu 2.77, 4 Sr 2.79-2.85
B (0.4913, 0.4455, 0.9546)  1 B 1.60
B (0.5087, 0.5545, 0.0454)  1 B 1.60

Summary:
**Final energy**: -3.64 eV/atom



Here is a geometry-optimized LuHgBi structure from OQMD via LeMat-Bulk. Energies are from PBE-GGA.

Cell lengths 7.1501, 7.1501, 7.1501 Å; angles 90.00, 90.00, 90.00 degrees
With the nearest neighbours (Å) after each atom.
Sites, in units of the cell vectors:
Lu (0.0000, 0.0000, 0.0000)  4 Hg 3.10
Lu (0.0000, 0.5000, 0.5000)  4 Hg 3.10
Lu (0.5000, 0.0000, 0.5000)  4 Hg 3.10
Lu (0.5000, 0.5000, 0.0000)  4 Hg 3.10
Hg (0.2500, 0.2500, 0.7500)  4 Lu 3.10, 4 Bi 3.10
Hg (0.2500, 0.7500, 0.2500)  4 Lu 3.10, 4 Bi 3.10
Hg (0.7500, 0.2500, 0.2500)  4 Lu 3.10, 4 Bi 3.10
Hg (0.7500, 0.7500, 0.7500)  4 Lu 3.10, 4 Bi 3.10
Bi (0.0000, 0.0000, 0.5000)  4 Hg 3.10
Bi (0.0000, 0.5000, 0.0000)  4 Hg 3.10
Bi (0.5000, 0.0000, 0.0000)  4 Hg 3.10
Bi (0.5000, 0.5000, 0.5000)  4 Hg 3.10

Summary:
**Final energy**: -3.09 eV/atom



Here is a geometry-optimized PrSc2Ni9 structure from OQMD via LeMat-Bulk. Energies are from PBE-GGA.

Cell lengths 8.4232, 8.4232, 8.4232 Å; angles 33.88, 33.88, 33.88 degrees
With the nearest neighbours (Å) after each atom.
Sites, in units of the cell vectors:
Pr (0.0000, 0.0000, 0.0000)  6 Ni 2.83
Sc (0.1422, 0.1422, 0.1422)  12 Ni 2.80-2.89, 3 Sc 3.06
Sc (0.8578, 0.8578, 0.8578)  12 Ni 2.80-2.89, 3 Sc 3.06
Ni (0.0826, 0.5873, 0.5873)  7 Ni 2.40-2.49
Ni (0.3332, 0.3332, 0.3332)  6 Ni 2.47-2.49
Ni (0.4127, 0.4127, 0.9174)  7 Ni 2.40-2.49
Ni (0.4127, 0.9174, 0.4127)  7 Ni 2.40-2.49
Ni (0.5000, 0.5000, 0.5000)  6 Ni 2.40
Ni (0.5873, 0.0826, 0.5873)  7 Ni 2.40-2.49
Ni (0.5873, 0.5873, 0.0826)  7 Ni 2.40-2.49
Ni (0.6668, 0.6668, 0.6668)  6 Ni 2.47-2.49
Ni (0.9174, 0.4127, 0.4127)  7 Ni 2.40-2.49

Summary:
**ΔE_f**: -414 meV per atom



Here is a geometry-optimized Dy2Er3Tm3 structure from OQMD via LeMat-Bulk. Energies are from PBE-GGA.

Cell lengths 7.1351, 7.1351, 5.5568 Å; angles 90.00, 90.00, 120.00 degrees
With the nearest neighbours (Å) after each atom.
Sites, in units of the cell vectors:
Dy (0.0000, 0.0000, 0.0000)  6 Tm 3.46, 6 Er 3.57
Dy (0.3333, 0.6667, 0.5000)  6 Er 3.46, 6 Tm 3.57
Er (0.5004, 0.0008, 0.0000)  4 Tm 3.46, 4 Dy 3.46-3.57, 4 Er 3.56-3.58
Er (0.5004, 0.4996, 0.0000)  4 Tm 3.46, 4 Dy 3.46-3.57, 4 Er 3.56-3.58
Er (0.9992, 0.4996, 0.0000)  4 Tm 3.46, 4 Dy 3.46-3.57, 4 Er 3.56-3.58
Tm (0.3342, 0.1671, 0.5000)  4 Er 3.46, 4 Dy 3.46-3.57, 4 Tm 3.56-3.58
Tm (0.8329, 0.1671, 0.5000)  4 Er 3.46, 4 Dy 3.46-3.57, 4 Tm 3.56-3.58
Tm (0.8329, 0.6658, 0.5000)  4 Er 3.46, 4 Dy 3.46-3.57, 4 Tm 3.56-3.58

Summary:
**ΔE_f**: 1 meV per atom



Here is a geometry-optimized Ni4P2Au structure from OQMD via LeMat-Bulk. Energies are from PBE-GGA.

Cell lengths 7.1448, 7.1448, 3.4621 Å; angles 90.00, 90.00, 90.00 degrees
With the nearest neighbours (Å) after each atom.
Sites, in units of the cell vectors:
Ni (0.0537, 0.3132, 0.0000)  3 P 2.23-2.27
Ni (0.1868, 0.5537, 0.5000)  3 P 2.23-2.27
Ni (0.3132, 0.0537, 0.0000)  3 P 2.23-2.27
Ni (0.4463, 0.8132, 0.5000)  3 P 2.23-2.27
Ni (0.5537, 0.1868, 0.5000)  3 P 2.23-2.27
Ni (0.6868, 0.9463, 0.0000)  3 P 2.23-2.27
Ni (0.8132, 0.4463, 0.5000)  3 P 2.23-2.27
Ni (0.9463, 0.6868, 0.0000)  3 P 2.23-2.27
P (0.2483, 0.2483, 0.5000)  6 Ni 2.23-2.27
P (0.2517, 0.7483, 0.0000)  6 Ni 2.23-2.27
P (0.7483, 0.2517, 0.0000)  6 Ni 2.23-2.27
P (0.7517, 0.7517, 0.5000)  6 Ni 2.23-2.27
Au (0.0000, 0.0000, 0.5000)  2 P 2.51
Au (0.5000, 0.5000, 0.0000)  2 P 2.51

Summary:
**Final energy**: -5.48 eV/atom



Here is a geometry-optimized Sr3Zn4Au4 structure from OQMD via LeMat-Bulk. Energies are from PBE-GGA.

Cell lengths 4.2835, 4.5433, 13.9693 Å; angles 99.19, 98.80, 90.07 degrees
With the nearest neighbours (Å) after each atom.
Sites, in units of the cell vectors:
Sr (0.0000, 0.0000, 0.0000)  8 Au 3.42-3.45, 4 Zn 3.44-3.45
Sr (0.1487, 0.6495, 0.2975)  6 Au 3.36-3.39, 8 Zn 3.40-3.61
Sr (0.8513, 0.3505, 0.7025)  6 Au 3.36-3.39, 8 Zn 3.40-3.61
Zn (0.2535, 0.2523, 0.5032)  4 Au 2.64-2.70
Zn (0.4011, 0.9000, 0.8019)  3 Au 2.60-2.61
Zn (0.5989, 0.1000, 0.1981)  3 Au 2.60-2.61
Zn (0.7465, 0.7477, 0.4968)  4 Au 2.64-2.70
Au (0.3034, 0.8048, 0.6101)  5 Zn 2.61-2.70
Au (0.4489, 0.4458, 0.8951)  2 Zn 2.60, 1 Au 2.86
Au (0.5511, 0.5542, 0.1049)  2 Zn 2.60, 1 Au 2.86
Au (0.6966, 0.1952, 0.3899)  5 Zn 2.61-2.70

Summary:
**Final energy**: -2.67 eV/atom



Here is a geometry-optimized Re2As structure from OQMD via LeMat-Bulk. Energies are from PBE-GGA.

Cell lengths 5.2438, 5.2438, 5.2438 Å; angles 60.00, 60.00, 60.00 degrees
With the nearest neighbours (Å) after each atom.
Sites, in units of the cell vectors:
Re (0.0000, 0.0000, 0.0000)  6 Re 2.62
Re (0.0000, 0.0000, 0.5000)  6 Re 2.62
Re (0.0000, 0.5000, 0.0000)  6 Re 2.62
Re (0.5000, 0.0000, 0.0000)  6 Re 2.62
As (0.3750, 0.3750, 0.3750)  12 Re 3.07, 4 As 3.21
As (0.6250, 0.6250, 0.6250)  12 Re 3.07, 4 As 3.21

Summary:
**Final energy**: -8.95 eV/atom



> What is the formula in the sixth record?

Ni4P2Au



> Number 2 is which compound?

Sr4Lu4B3